VASP calculation (SCAN) on a crystal of Ca2TaCl relaxed with PBEsol.

Summary:
**Magnetization**: 0.00 μB per formula unit
**Energy above the most stable polymorph in this dataset**: 0.0000 eV/atom
**E_form (uncorrected)**: -0.37 eV/atom
**Calculated volume**: 22.6 A^3/atom
**Crystal system**: tetragonal

abc: 3.204 3.204 8.812
angles: 90.00 90.00 90.00
Positions (direct):
1 Ca 0.000 0.000 0.237
2 Ca 0.000 0.000 0.763
3 Ta 0.500 0.500 0.500
4 Cl 0.500 0.500 0.000